(1)
Entry from Alexandria: an optimized crystal structure of GdInRu (PBE-GGA).

a = 6.6125 Å, b = 6.6125 Å, c = 6.6125 Å
α = 90.00°, β = 90.00°, γ = 90.00°
Last column: nearest neighbours and their distance in Å.
Space group F-43m (No. 216)
Unique sites:
Gd1 0.0000 0.0000 0.0000  4 Ru 2.86
In1 0.0000 0.0000 0.5000  4 Ru 2.86
Ru1 0.2500 0.2500 0.2500  4 Gd 2.86, 4 In 2.86

Results
- Total magnetic moment: 7.12 μB per formula unit
- Raw total energy: -8.887 eV per atom
- ΔH_f (0 K): -0.566 eV per formula unit
- Crystal system: cubic

(2)
Entry from Alexandria: an optimized crystal structure of AcCoMoP2 (PBE-GGA).

a = 4.0225 Å, b = 4.0225 Å, c = 11.5330 Å
α = 90.00°, β = 90.00°, γ = 90.00°
Last column: nearest neighbours and their distance in Å.
Space group I-4m2 (No. 119)
Unique sites:
Ac1 0.0000 0.0000 0.0000  8 P 3.31, 4 Mo 3.52, 4 Co 3.52
Co1 0.0000 0.5000 0.2500  4 P 2.33
Mo1 0.0000 0.5000 0.7500  4 P 2.33
P1 0.0000 0.0000 0.3527  2 Mo 2.33, 2 Co 2.33

Results
- Total magnetic moment: 0.00 μB per formula unit
- Raw total energy: -7.387 eV per atom
- ΔH_f (0 K): -4.070 eV per formula unit
- Crystal system: tetragonal

(3)
Entry from Alexandria: an optimized crystal structure of LiSmInRh (PBE-GGA).

a = 6.8127 Å, b = 6.8127 Å, c = 6.8127 Å
α = 90.00°, β = 90.00°, γ = 90.00°
Last column: nearest neighbours and their distance in Å.
Space group F-43m (No. 216)
Unique sites:
Li1 0.0000 0.0000 0.0000  4 Sm 2.95, 4 In 2.95
Sm1 0.2500 0.2500 0.2500  4 Rh 2.95, 4 Li 2.95
In1 0.2500 0.2500 0.7500  4 Li 2.95, 4 Rh 2.95
Rh1 0.0000 0.0000 0.5000  4 In 2.95, 4 Sm 2.95

Results
- Total magnetic moment: 0.00 μB per formula unit
- Raw total energy: -4.683 eV per atom
- ΔH_f (0 K): -2.008 eV per formula unit
- Crystal system: cubic

(4)
Entry from Alexandria: an optimized crystal structure of LiBC (PBE-GGA).

a = 7.4798 Å, b = 4.0175 Å, c = 4.4054 Å
α = 90.00°, β = 90.00°, γ = 90.00°
Last column: nearest neighbours and their distance in Å.
Space group Pnma (No. 62)
Unique sites:
Li1 0.1480 0.2500 0.0186  4 C 2.22-2.43
B1 0.0000 0.0000 0.5000  2 C 1.45
C1 0.0817 0.7500 0.3091  2 B 1.45

Results
- Total magnetic moment: 0.00 μB per formula unit
- Raw total energy: -5.862 eV per atom
- ΔH_f (0 K): 0.229 eV per formula unit
- Crystal system: orthorhombic